This record from the Alexandria database describes a geometry-optimized TiSbPS2 structure. The functional is PBE.

a b c (Å): 4.9260 4.9260 5.0249
angles (deg): 90.00 90.00 90.00
Space group P4/mmm (No. 123)
Unique sites:
Ti  0.0000  0.0000  0.0000 x1
Sb  0.5000  0.5000  0.5000 x1
P  0.5000  0.5000  0.0000 x1
S  0.0000  0.5000  0.5000 x2

Computed properties:
The value obtained for the offset from the most stable computed form is 801 meV per atom. The uncorrected formation energy comes out at 0.683 eV per atom. The energy comes out at -4.454 eV per atom.

This record from the Alexandria database describes a geometry-optimized Rb2SeF6 structure. The functional is PBE.

a b c (Å): 8.8429 8.8429 8.8429
angles (deg): 90.00 90.00 90.00
Space group Fm-3m (No. 225)
Unique sites:
Rb  0.2500  0.2500  0.2500 x8
Se  0.0000  0.0000  0.0000 x4
F  0.0000  0.0000  0.2223 x24

Computed properties:
The uncorrected formation energy comes out at -2.281 eV per atom. The energy comes out at -4.131 eV per atom.

This record from the Alexandria database describes a geometry-optimized TmTlGaS4 structure. The functional is PBE.

a b c (Å): 6.8039 5.6064 9.2869
angles (deg): 90.00 106.11 90.00
Space group P2_1/m (No. 11)
Unique sites:
Tm  0.2473  0.2500  0.4426 x2
Tl  0.2390  0.2500  0.9560 x2
Ga  0.2466  0.7500  0.6747 x2
S  0.0466  0.7500  0.8281 x2
S  0.0769  0.7500  0.4272 x2
S  0.4879  0.5177  0.2987 x4

Computed properties:
The uncorrected formation energy comes out at -0.978 eV per atom. The energy comes out at -4.746 eV per atom.

This record from the Alexandria database describes a geometry-optimized Y4AsC structure. The functional is PBE.

a b c (Å): 7.8303 14.8223 6.4837
angles (deg): 90.00 124.05 90.00
Space group C2/c (No. 15)
Unique sites:
Y  0.1953  0.1878  0.2176 x8
Y  0.2209  0.0554  0.7157 x8
As  0.0000  0.4208  0.7500 x4
C  0.0000  0.0647  0.2500 x4

Computed properties:
Its formation energy is -3.49 eV per formula unit. The energy comes out at -7.204 eV per atom.

This record from the Alexandria database describes a geometry-optimized TiCd2 structure. The functional is PBE.

a b c (Å): 3.0136 3.0136 13.1010
angles (deg): 90.00 90.00 90.00
Space group I4/mmm (No. 139)
Unique sites:
Ti  0.0000  0.0000  0.0000 x2
Cd  0.0000  0.0000  0.3388 x4

Computed properties:
Its formation energy is 0.03 eV per formula unit. The energy comes out at -3.233 eV per atom.

This record from the Alexandria database describes a geometry-optimized RbCoAs3 structure. The functional is PBE.

a b c (Å): 5.5268 5.5268 5.5268
angles (deg): 90.00 90.00 90.00
Space group Pm-3m (No. 221)
Unique sites:
Rb  0.0000  0.0000  0.0000 x1
Co  0.5000  0.5000  0.5000 x1
As  0.0000  0.0000  0.5000 x3

Computed properties:
Its formation energy is 11.29 eV per formula unit. The value obtained for the offset from the most stable computed form is 2015 meV per atom. The energy comes out at -2.145 eV per atom.

Among the records above, which one has the highest energy? RbCoAs3